# BaAu3

An optimized crystal structure of BaAu3 (GGA-PBE, Alexandria via LeMat-Bulk). Values from VASP.

The structure in Quantum ESPRESSO input format:
```
&SYSTEM
  ibrav = 0, nat = 16, ntyp = 2
/
ATOMIC_SPECIES
Au 196.97 Au.upf
Ba 137.33 Ba.upf
CELL_PARAMETERS angstrom
-2.0539 4.8868 -3.4935
-4.9929 2.3956 6.2863
5.6835 4.4134 2.8323
ATOMIC_POSITIONS angstrom
Au -0.3402 6.0927 7.0245
Au -3.0973 5.7961 2.4621
Au 1.7340 5.8997 3.1629
Au -1.0232 5.6031 -1.3994
Au -2.5212 3.8980 0.2657
Au 4.3605 4.9197 3.4175
Au -3.5716 8.4475 3.2801
Au -0.9945 6.1265 4.2868
Au 1.1578 7.7979 5.3594
Au -5.7239 6.7762 2.2076
Au 2.2082 3.2483 2.3449
Au -0.3688 5.5693 1.3383
Ba 2.8373 6.4466 0.0968
Ba -1.2057 2.8656 3.2328
Ba -0.1576 8.8303 2.3922
Ba -4.2006 5.2492 5.5283
```

Summary:
The calculation puts the final energy at -3.49 eV per atom. The space group is Pnma.